1.
The following is a PBE calculation of an optimized crystal structure of Cs2HgI6Cl, from Alexandria.

Calculated values
theoretical density = 4.437 g cm⁻³
formation energy (no corrections) = -639.2 meV per atom
total moment = 0.0 μB per formula unit
D(E_F) = 7.002 states/eV/cell

The structure in POSCAR format:
```
Cs2HgI6Cl
1.0
-3.269 7.981 2.008
-4.058 0.316 -7.865
-8.538 1.546 -0.519
I Cl Cs Hg
6 1 2 1
direct
0.279 0.279 0.443 I
0.772 0.772 0.000 I
0.228 0.772 0.000 I
0.228 0.228 0.000 I
0.772 0.228 0.000 I
0.721 0.721 0.557 I
0.500 0.500 0.000 Cl
0.750 0.250 0.500 Cs
0.250 0.750 0.500 Cs
0.000 0.000 0.000 Hg
```

---

2.
The following is a PBE calculation of an optimized crystal structure of BeNiCl2, from Alexandria.

Calculated values
polymorph energy (0 for the lowest one) = 26.28 kJ per mole of atoms
theoretical density = 3.810 g cm⁻³
formation energy (no corrections) = -186.1 meV per atom
total moment = 0.0 μB per formula unit
D(E_F) = 0.000 states/eV/cell

The structure in POSCAR format:
```
BeNiCl2
1.0
2.844 -0.629 6.440
5.402 -0.297 4.549
3.782 2.285 5.517
Be Ni Cl
1 1 2
direct
0.500 0.500 0.500 Be
0.000 0.000 0.000 Ni
0.104 0.104 0.104 Cl
0.896 0.896 0.896 Cl
```

---

3.
The following is a PBE calculation of an optimized crystal structure of Cs3Tb3VSe8, from Alexandria.

Calculated values
theoretical density = 5.152 g cm⁻³
formation energy (no corrections) = -1452.3 meV per atom
total moment = 1.0 μB per formula unit
D(E_F) = 6.444 states/eV/cell

The structure in POSCAR format:
```
Cs3Tb3VSe8
1.0
-4.239 -6.855 -1.652
5.910 -0.097 5.723
-8.287 4.471 2.711
Se Tb V Cs
8 3 1 3
direct
0.245 0.036 0.326 Se
0.271 0.541 0.312 Se
0.755 0.964 0.674 Se
0.790 0.036 0.326 Se
0.210 0.964 0.674 Se
0.790 0.581 0.326 Se
0.729 0.459 0.688 Se
0.210 0.419 0.674 Se
0.000 0.500 0.500 Tb
0.500 0.500 0.500 Tb
0.500 0.000 0.500 Tb
0.000 0.000 0.500 V
0.000 0.000 0.000 Cs
0.500 0.500 0.000 Cs
0.000 0.500 0.000 Cs
```